Here is In2CoOF after structural relaxation from Alexandria. Energies are from GGA+U.

The structure in POSCAR format:
```
In2CoOF
1.0
4.915 0.000 0.000
0.000 3.711 0.000
0.000 0.000 4.915
F Co O In
1 1 1 2
Cartesian
0.000 1.855 0.000
0.000 0.000 0.000
2.457 1.855 2.457
0.000 0.000 2.457
2.457 0.000 0.000
```

- DFT total energy: -3.6555 eV/atom
- Fermi-level density of states: 0.30 states/eV/atom